Entry 1:
The following is a GGA-PBE calculation of a geometry-optimized LaRe2Te structure, from Alexandria.

Cell: 4.5918 4.5918 7.8482 Å, 90.00 90.00 90.00°
With the nearest neighbours (Å) after each atom.
Fractional positions:
La  0.0000  0.0000  0.0000  8 Re 3.02-3.25, 4 Te 3.02
La  0.5000  0.5000  0.5000  8 Re 3.02-3.25, 4 Te 3.02
Re  0.0000  0.0000  0.5000  4 Re 3.02, 4 Te 3.02, 4 La 3.25
Re  0.0000  0.5000  0.7500  4 La 3.02, 4 Re 3.02, 4 Te 3.25
Re  0.5000  0.0000  0.2500  4 La 3.02, 4 Re 3.02, 4 Te 3.25
Re  0.5000  0.5000  0.0000  4 Re 3.02, 4 Te 3.02, 4 La 3.25
Te  0.0000  0.5000  0.2500  4 La 3.02, 8 Re 3.02-3.25
Te  0.5000  0.0000  0.7500  4 La 3.02, 8 Re 3.02-3.25

Output
Formation energy without anion corrections = 18.458 kcal/mol of atoms

***

Entry 2:
The following is a GGA-PBE calculation of a geometry-optimized Pm5Pr12Sm2 structure, from Alexandria.

Cell: 11.9333 11.9333 8.9079 Å, 109.20 109.20 35.39°
With the nearest neighbours (Å) after each atom.
Fractional positions:
Pm  0.0000  0.0000  0.0000  4 Pr 3.47
Pm  0.2487  0.2487  0.9909  9 Pr 3.57-3.77, 3 Pm 3.59-3.63
Pm  0.3493  0.3493  0.4032  9 Pr 3.53-3.73, 1 Pm 3.59, 2 Sm 3.68
Pm  0.6507  0.6507  0.5968  9 Pr 3.53-3.73, 1 Pm 3.59, 2 Sm 3.68
Pm  0.7513  0.7513  0.0091  9 Pr 3.57-3.77, 3 Pm 3.59-3.63
Pr  0.0522  0.5471  0.7069  7 Pr 3.53-3.80, 4 Pm 3.60-3.73
Pr  0.1429  0.1429  0.5593  6 Pr 3.58-3.80, 2 Sm 3.62, 3 Pm 3.64-3.77
Pr  0.1499  0.6376  0.1154  1 Sm 3.44, 4 Pm 3.47-3.57, 5 Pr 3.53-3.78
Pr  0.3624  0.8501  0.8846  1 Sm 3.44, 4 Pm 3.47-3.57, 5 Pr 3.53-3.78
Pr  0.4514  0.4514  0.8044  5 Pr 3.42-3.78, 1 Pm 3.53, 2 Sm 3.71
Pr  0.4529  0.9478  0.2931  7 Pr 3.53-3.80, 4 Pm 3.60-3.73
Pr  0.5471  0.0522  0.7069  7 Pr 3.53-3.80, 4 Pm 3.60-3.73
Pr  0.5486  0.5486  0.1956  5 Pr 3.42-3.78, 1 Pm 3.53, 2 Sm 3.71
Pr  0.6376  0.1499  0.1154  1 Sm 3.44, 4 Pm 3.47-3.57, 5 Pr 3.53-3.78
Pr  0.8501  0.3624  0.8846  1 Sm 3.44, 4 Pm 3.47-3.57, 5 Pr 3.53-3.78
Pr  0.8571  0.8571  0.4407  6 Pr 3.58-3.80, 2 Sm 3.62, 3 Pm 3.64-3.77
Pr  0.9478  0.4529  0.2931  7 Pr 3.53-3.80, 4 Pm 3.60-3.73
Sm  0.2563  0.7437  0.5000  6 Pr 3.44-3.71, 2 Sm 3.54-3.72, 2 Pm 3.68
Sm  0.7437  0.2563  0.5000  6 Pr 3.44-3.71, 2 Sm 3.54-3.72, 2 Pm 3.68

Output
Energy above the lowest structure with this stoichiometry = 34 meV per atom
Formation energy from the elements = 0.12 eV/atom

***

Entry 3:
The following is a GGA-PBE calculation of a geometry-optimized Y4InFe structure, from Alexandria.

Cell: 7.7591 7.7591 6.0843 Å, 99.46 99.46 111.34°
With the nearest neighbours (Å) after each atom.
Fractional positions:
Y  0.0558  0.7318  0.9548  2 Fe 2.71-2.73
Y  0.2015  0.3588  0.6092  2 Fe 2.94-3.00, 1 In 3.23
Y  0.2682  0.9442  0.5452  2 Fe 2.71-2.73
Y  0.3588  0.2015  0.1092  2 Fe 2.94-3.00, 1 In 3.23
Y  0.6412  0.7985  0.8908  2 Fe 2.94-3.00, 1 In 3.23
Y  0.7318  0.0558  0.4548  2 Fe 2.71-2.73
Y  0.7985  0.6412  0.3908  2 Fe 2.94-3.00, 1 In 3.23
Y  0.9442  0.2682  0.0452  2 Fe 2.71-2.73
In  0.3733  0.6267  0.2500  8 Y 3.23-3.36
In  0.6267  0.3733  0.7500  8 Y 3.23-3.36
Fe  0.0009  0.9991  0.7500  8 Y 2.71-3.00
Fe  0.9991  0.0009  0.2500  8 Y 2.71-3.00

Output
Energy above the lowest structure with this stoichiometry = 0 meV per atom
Formation energy from the elements = -0.18 eV/atom

***

Quick rundown of magnetization, same order as above: 0.0; 0.0; 0.0 μB per formula unit